The following is a PBE calculation of K2AgPbI5 after structural relaxation, from the Alexandria database.

Unit cell a=4.7587 b=20.7900 c=15.2023 alpha=90.00 beta=90.00 gamma=90.00
Closest atoms and distances in Å follow each position.
Space group Cmc2_1 (No. 36)
Asymmetric unit:
K  0.0000  0.1072  0.0000 x4  6 I 3.55-3.90
K  0.0000  0.1215  0.6464 x4  7 I 3.55-3.87
Ag  0.0000  0.4448  0.7516 x4  4 I 2.80-3.09
Pb  0.0000  0.2058  0.3426 x4  6 I 3.18-3.31
I  0.0000  0.0467  0.3532 x4  2 Ag 2.84
I  0.0000  0.2866  0.9904 x4  2 Pb 3.28
I  0.0000  0.3024  0.6926 x4  1 Ag 3.09, 2 Pb 3.30
I  0.0000  0.3583  0.3263 x4  1 Pb 3.18
I  0.0000  0.4971  0.0855 x4  1 Ag 2.80

Output
* electronic total energy: -99.516 eV/cell
* D(E_F): 0.000 states/eV/cell